(1)
Entry from Alexandria via LeMat-Bulk: a relaxed Pm6GaGe2 crystal (PBE).

```
data_Pm6GaGe2
_space_group_name_H-M_alt 'P 1'
_space_group_IT_number 1
_cell_length_a 8.723
_cell_length_b 8.723
_cell_length_c 8.723
_cell_angle_alpha 107.43
_cell_angle_beta 109.44
_cell_angle_gamma 111.57
loop_
_space_group_symop_operation_xyz
'x,y,z'
loop_
_atom_site_label
_atom_site_fract_x
_atom_site_fract_y
_atom_site_fract_z
Pm1 0.557 0.734 0.823
Pm2 0.443 0.266 0.177
Pm3 0.090 0.266 0.823
Pm4 0.910 0.734 0.177
Pm5 0.803 0.747 0.550
Pm6 0.197 0.253 0.450
Pm7 0.197 0.747 0.944
Pm8 0.803 0.253 0.056
Pm9 0.709 0.380 0.671
Pm10 0.291 0.620 0.329
Pm11 0.291 0.963 0.671
Pm12 0.709 0.037 0.329
Ga1 0.000 0.500 0.500
Ga2 0.000 0.000 0.000
Ge1 0.500 0.379 0.879
Ge2 0.500 0.621 0.121
Ge3 0.643 0.000 0.643
Ge4 0.357 0.000 0.357
```

Computed properties:
E above lowest polymorph = 0.0 meV per atom
Space group = Immm, No. 71
DFT formation energy = -0.5399 eV per atom
Crystal system = orthorhombic

***

(2)
Entry from Alexandria via LeMat-Bulk: a relaxed Sr2Y3Te6 crystal (PBE).

```
data_Sr2Y3Te6
_space_group_name_H-M_alt 'P 1'
_space_group_IT_number 1
_cell_length_a 7.673
_cell_length_b 7.674
_cell_length_c 8.074
_cell_angle_alpha 80.85
_cell_angle_beta 71.45
_cell_angle_gamma 60.00
loop_
_space_group_symop_operation_xyz
'x,y,z'
loop_
_atom_site_label
_atom_site_fract_x
_atom_site_fract_y
_atom_site_fract_z
Sr1 0.166 0.668 0.500
Sr2 0.834 0.332 0.500
Y1 0.000 0.000 0.000
Y2 0.332 0.336 0.000
Y3 0.668 0.664 0.000
Te1 0.411 0.671 0.768
Te2 0.740 0.000 0.770
Te3 0.082 0.329 0.768
Te4 0.260 0.000 0.230
Te5 0.589 0.329 0.232
Te6 0.918 0.671 0.232
```

Computed properties:
Space group = C2/m, No. 12
Crystal system = monoclinic
Formation energy without anion corrections = -1.538 eV/atom

***

(3)
Entry from Alexandria via LeMat-Bulk: a relaxed EuHo3 crystal (PBE).

```
data_EuHo3
_space_group_name_H-M_alt 'P 1'
_space_group_IT_number 1
_cell_length_a 6.214
_cell_length_b 6.214
_cell_length_c 6.214
_cell_angle_alpha 131.93
_cell_angle_beta 131.93
_cell_angle_gamma 70.34
loop_
_space_group_symop_operation_xyz
'x,y,z'
loop_
_atom_site_label
_atom_site_fract_x
_atom_site_fract_y
_atom_site_fract_z
Eu1 0.000 0.000 0.000
Ho1 0.750 0.250 0.500
Ho2 0.250 0.750 0.500
Ho3 0.500 0.500 0.000
```

Computed properties:
E above lowest polymorph = 23.1 meV per atom
Space group = I4/mmm, No. 139
DFT formation energy = 0.0934 eV per atom
Crystal system = tetragonal

***

(4)
Entry from Alexandria via LeMat-Bulk: a relaxed Pm3Cd4Ag4 crystal (PBE).

```
data_Pm3Cd4Ag4
_space_group_name_H-M_alt 'P 1'
_space_group_IT_number 1
_cell_length_a 4.352
_cell_length_b 8.033
_cell_length_c 8.908
_cell_angle_alpha 116.80
_cell_angle_beta 104.14
_cell_angle_gamma 90.00
loop_
_space_group_symop_operation_xyz
'x,y,z'
loop_
_atom_site_label
_atom_site_fract_x
_atom_site_fract_y
_atom_site_fract_z
Pm1 0.123 0.123 0.247
Pm2 0.877 0.877 0.753
Pm3 0.000 0.500 0.000
Cd1 0.330 0.134 0.659
Cd2 0.670 0.475 0.341
Cd3 0.670 0.866 0.341
Cd4 0.330 0.525 0.659
Ag1 0.224 0.724 0.448
Ag2 0.776 0.276 0.552
Ag3 0.500 0.818 0.000
Ag4 0.500 0.182 0.000
```

Computed properties:
E above lowest polymorph = 20.8 meV per atom
Space group = Immm, No. 71
DFT formation energy = -0.2352 eV per atom
Crystal system = orthorhombic

***

(5)
Entry from Alexandria via LeMat-Bulk: a relaxed Pm3Tm2Tl4 crystal (PBE).

```
data_Pm3Tm2Tl4
_space_group_name_H-M_alt 'P 1'
_space_group_IT_number 1
_cell_length_a 5.360
_cell_length_b 5.351
_cell_length_c 10.445
_cell_angle_alpha 90.12
_cell_angle_beta 90.00
_cell_angle_gamma 120.06
loop_
_space_group_symop_operation_xyz
'x,y,z'
loop_
_atom_site_label
_atom_site_fract_x
_atom_site_fract_y
_atom_site_fract_z
Pm1 0.333 0.667 0.580
Pm2 0.000 0.000 0.000
Pm3 0.667 0.333 0.420
Tm1 0.333 0.666 0.222
Tm2 0.667 0.334 0.778
Tl1 0.666 0.333 0.102
Tl2 0.000 0.000 0.658
Tl3 0.000 0.000 0.342
Tl4 0.334 0.667 0.898
```

Computed properties:
Space group = C2/m, No. 12
DFT formation energy = -0.2908 eV per atom
Crystal system = monoclinic

***

(6)
Entry from Alexandria via LeMat-Bulk: a relaxed Na2Li5 crystal (PBE).

```
data_Na2Li5
_space_group_name_H-M_alt 'P 1'
_space_group_IT_number 1
_cell_length_a 3.465
_cell_length_b 3.465
_cell_length_c 14.569
_cell_angle_alpha 96.83
_cell_angle_beta 96.83
_cell_angle_gamma 90.00
loop_
_space_group_symop_operation_xyz
'x,y,z'
loop_
_atom_site_label
_atom_site_fract_x
_atom_site_fract_y
_atom_site_fract_z
Na1 0.301 0.301 0.601
Na2 0.699 0.699 0.399
Li1 0.120 0.120 0.239
Li2 0.560 0.560 0.120
Li3 0.000 0.000 0.000
Li4 0.440 0.440 0.880
Li5 0.880 0.880 0.761
```

Computed properties:
Space group = I4/mmm, No. 139
DFT formation energy = 0.0228 eV per atom
Crystal system = tetragonal

***

(7)
Entry from Alexandria via LeMat-Bulk: a relaxed DyHo6Tl2 crystal (PBE).

```
data_DyHo6Tl2
_space_group_name_H-M_alt 'P 1'
_space_group_IT_number 1
_cell_length_a 3.721
_cell_length_b 6.625
_cell_length_c 11.782
_cell_angle_alpha 74.87
_cell_angle_beta 80.91
_cell_angle_gamma 73.69
loop_
_space_group_symop_operation_xyz
'x,y,z'
loop_
_atom_site_label
_atom_site_fract_x
_atom_site_fract_y
_atom_site_fract_z
Dy1 0.000 0.000 0.000
Ho1 0.685 0.506 0.124
Ho2 0.315 0.494 0.876
Ho3 0.310 0.796 0.584
Ho4 0.986 0.682 0.346
Ho5 0.014 0.318 0.654
Ho6 0.690 0.204 0.416
Tl1 0.360 0.074 0.207
Tl2 0.640 0.926 0.793
```

Computed properties:
E above lowest polymorph = 0.0 meV per atom
Space group = C2/m, No. 12
DFT formation energy = -0.1460 eV per atom
Crystal system = monoclinic

***

(8)
Entry from Alexandria via LeMat-Bulk: a relaxed TbY2Zn2 crystal (PBE).

```
data_TbY2Zn2
_space_group_name_H-M_alt 'P 1'
_space_group_IT_number 1
_cell_length_a 3.620
_cell_length_b 5.172
_cell_length_c 13.372
_cell_angle_alpha 90.00
_cell_angle_beta 97.79
_cell_angle_gamma 90.00
loop_
_space_group_symop_operation_xyz
'x,y,z'
loop_
_atom_site_label
_atom_site_fract_x
_atom_site_fract_y
_atom_site_fract_z
Tb1 0.856 0.750 0.714
Tb2 0.144 0.250 0.286
Y1 0.047 0.750 0.093
Y2 0.953 0.250 0.907
Y3 0.232 0.750 0.464
Y4 0.768 0.250 0.536
Zn1 0.640 0.750 0.280
Zn2 0.360 0.250 0.720
Zn3 0.451 0.750 0.903
Zn4 0.549 0.250 0.097
```

Computed properties:
E above lowest polymorph = 0.0 meV per atom
Space group = P2_1/m, No. 11
DFT formation energy = -0.2740 eV per atom
Crystal system = monoclinic

***

(9)
Entry from Alexandria via LeMat-Bulk: a relaxed CuSiTe2 crystal (PBE).

```
data_CuSiTe2
_space_group_name_H-M_alt 'P 1'
_space_group_IT_number 1
_cell_length_a 3.864
_cell_length_b 3.864
_cell_length_c 6.626
_cell_angle_alpha 90.00
_cell_angle_beta 90.00
_cell_angle_gamma 90.00
loop_
_space_group_symop_operation_xyz
'x,y,z'
loop_
_atom_site_label
_atom_site_fract_x
_atom_site_fract_y
_atom_site_fract_z
Cu1 0.000 0.000 0.459
Si1 0.500 0.500 0.779
Te1 0.000 0.000 0.875
Te2 0.500 0.500 0.387
```

Computed properties:
Space group = P4mm, No. 99
Crystal system = tetragonal
Formation energy without anion corrections = 0.123 eV/atom

***

(10)
Entry from Alexandria via LeMat-Bulk: a relaxed Pr3Nd3Ga2 crystal (PBE).

```
data_Pr3Nd3Ga2
_space_group_name_H-M_alt 'P 1'
_space_group_IT_number 1
_cell_length_a 4.061
_cell_length_b 6.047
_cell_length_c 11.050
_cell_angle_alpha 74.16
_cell_angle_beta 79.43
_cell_angle_gamma 90.00
loop_
_space_group_symop_operation_xyz
'x,y,z'
loop_
_atom_site_label
_atom_site_fract_x
_atom_site_fract_y
_atom_site_fract_z
Pr1 0.835 0.465 0.329
Pr2 0.165 0.535 0.671
Pr3 0.000 0.000 0.000
Nd1 0.367 0.000 0.266
Nd2 0.500 0.500 0.000
Nd3 0.633 0.000 0.734
Ga1 0.759 0.858 0.483
Ga2 0.241 0.142 0.517
```

Computed properties:
Space group = C2/m, No. 12
DFT formation energy = -0.1952 eV per atom
Crystal system = monoclinic

***

(11)
Entry from Alexandria via LeMat-Bulk: a relaxed AcZnPd6Au crystal (PBE).

```
data_AcZnPd6Au
_space_group_name_H-M_alt 'P 1'
_space_group_IT_number 1
_cell_length_a 6.544
_cell_length_b 9.499
_cell_length_c 8.238
_cell_angle_alpha 125.21
_cell_angle_beta 113.40
_cell_angle_gamma 90.00
loop_
_space_group_symop_operation_xyz
'x,y,z'
loop_
_atom_site_label
_atom_site_fract_x
_atom_site_fract_y
_atom_site_fract_z
Ac1 0.829 0.579 0.659
Ac2 0.171 0.421 0.341
Zn1 0.500 0.500 0.000
Zn2 0.500 0.000 0.000
Pd1 0.415 0.665 0.830
Pd2 0.934 0.184 0.869
Pd3 0.917 0.126 0.262
Pd4 0.345 0.636 0.262
Pd5 0.345 0.126 0.262
Pd6 0.917 0.636 0.262
Pd7 0.585 0.335 0.170
Pd8 0.066 0.816 0.131
Pd9 0.083 0.874 0.738
Pd10 0.655 0.364 0.738
Pd11 0.655 0.874 0.738
Pd12 0.083 0.364 0.738
Au1 0.500 0.000 0.500
Au2 0.000 0.000 0.500
```

Computed properties:
Space group = Imma, No. 74
DFT formation energy = -0.1052 eV per atom
Crystal system = orthorhombic

***

(12)
Entry from Alexandria via LeMat-Bulk: a relaxed CaTl2Cd crystal (PBE).

```
data_CaTl2Cd
_space_group_name_H-M_alt 'P 1'
_space_group_IT_number 1
_cell_length_a 5.358
_cell_length_b 5.358
_cell_length_c 5.358
_cell_angle_alpha 60.00
_cell_angle_beta 60.00
_cell_angle_gamma 60.00
loop_
_space_group_symop_operation_xyz
'x,y,z'
loop_
_atom_site_label
_atom_site_fract_x
_atom_site_fract_y
_atom_site_fract_z
Tl1 0.250 0.250 0.250
Tl2 0.750 0.750 0.750
Ca1 0.000 0.000 0.000
Cd1 0.500 0.500 0.500
```

Computed properties:
E above lowest polymorph = 12.4 meV per atom
Space group = Fm-3m, No. 225
DFT formation energy = -0.2292 eV per atom
Crystal system = cubic